(i)
VASP calculation (PBE+U) on a geometry-optimized Li2Cr3WO8 structure.

Values from the calculation:
N(E_F): 0.00 states/eV/cell

Unit cell a=8.5331 b=8.5331 c=8.5331 alpha=90.00 beta=90.00 gamma=90.00
Last column: nearest neighbours and their distance in Å.
Space group P4_332 (No. 212)
Asymmetric unit:
Li  0.0048  0.4952  0.5048 x8  4 O 1.99-2.03
Cr  0.1221  0.1279  0.6250 x12  6 O 1.99-2.08
W  0.1250  0.8750  0.3750 x4  6 O 2.02
O  0.1113  0.3850  0.1158 x24  1 W 2.02, 1 Li 2.03, 2 Cr 2.05-2.08
O  0.1106  0.6106  0.8894 x8  1 Li 1.99, 3 Cr 1.99

---

(ii)
VASP calculation (PBE+U) on a geometry-optimized Li2Cr3WO8 structure.

Values from the calculation:
N(E_F): 9.99 states/eV/cell

Unit cell a=5.9660 b=5.9660 c=9.6587 alpha=90.00 beta=90.00 gamma=120.00
Last column: nearest neighbours and their distance in Å.
Space group P6_3mc (No. 186)
Asymmetric unit:
Li  0.0000  0.0000  0.0000 x2  4 O 1.79-2.00
Li  0.3333  0.6667  0.4103 x2  4 O 1.98-2.01
Cr  0.1693  0.3386  0.7208 x6  6 O 1.97-2.08
W  0.3333  0.6667  0.9949 x2  6 O 2.00-2.06
O  0.0000  0.0000  0.3150 x2  1 Li 1.79, 3 Cr 1.97
O  0.0402  0.5201  0.8507 x6  1 Li 2.01, 2 Cr 2.04, 1 W 2.06
O  0.1677  0.3355  0.1029 x6  1 Li 2.00, 1 W 2.00, 2 Cr 2.08
O  0.3333  0.6667  0.6153 x2  3 Cr 1.98, 1 Li 1.98

---

(iii)
VASP calculation (PBE+U) on a geometry-optimized Li2Cr3WO8 structure.

Values from the calculation:
N(E_F): 0.00 states/eV/cell

Unit cell a=6.0266 b=6.0266 c=14.8285 alpha=90.00 beta=90.00 gamma=120.00
Last column: nearest neighbours and their distance in Å.
Space group R-3m (No. 166, hexagonal axes)
Asymmetric unit:
Li  0.0000  0.0000  0.1295 x6  4 O 2.02-2.03
Cr  0.0000  0.5000  0.0000 x9  6 O 2.01-2.06
W  0.0000  0.0000  0.5000 x3  6 O 2.02
O  0.0000  0.0000  0.2656 x6  3 Cr 2.01, 1 Li 2.02
O  0.0308  0.5154  0.2513 x18  1 W 2.02, 1 Li 2.03, 2 Cr 2.06

---

Tell me which of them is the most stable. Sure, it is (i).